Below is a geometry-optimized NdSm3Er2 structure, with properties calculated at the PBE-GGA level.

a = 10.4092 Å, b = 10.4092 Å, c = 10.4092 Å
α = 160.67°, β = 146.92°, γ = 38.60°
With the nearest neighbours (Å) after each atom.
Sites, in units of the cell vectors:
Nd 0.0000 0.0000 0.0000  2 Sm 2.96
Sm 0.1928 0.1928 0.0000  5 Er 3.33-3.61, 2 Sm 3.49
Sm 0.5000 0.0000 0.5000  2 Nd 2.96, 4 Er 3.22
Sm 0.8072 0.8072 0.0000  5 Er 3.33-3.61, 2 Sm 3.49
Er 0.3624 0.3624 0.0000  3 Sm 3.22-3.33, 2 Er 3.49
Er 0.6376 0.6376 0.0000  3 Sm 3.22-3.33, 2 Er 3.49

Theoretical density, Mg/m³: 7.6
E_tot, eV/cell: -26.0
Energy relative to the lowest polymorph listed for this composition, kJ/mol of atoms: 33.1

=====

Below is a geometry-optimized Nd15SmEr4 structure, with properties calculated at the PBE-GGA level.

a = 5.1691 Å, b = 5.1691 Å, c = 25.7790 Å
α = 90.00°, β = 90.00°, γ = 90.00°
With the nearest neighbours (Å) after each atom.
Sites, in units of the cell vectors:
Nd 0.0000 0.0000 0.0000  4 Sm 3.66, 8 Nd 3.66
Nd 0.0000 0.0000 0.2001  8 Nd 3.64-3.65, 4 Er 3.66
Nd 0.0000 0.0000 0.4001  8 Nd 3.65, 4 Er 3.66
Nd 0.0000 0.0000 0.5999  8 Nd 3.65, 4 Er 3.66
Nd 0.0000 0.0000 0.7999  8 Nd 3.64-3.65, 4 Er 3.66
Nd 0.0000 0.5000 0.1005  2 Er 3.64, 8 Nd 3.64-3.66, 2 Sm 3.66
Nd 0.0000 0.5000 0.3000  8 Nd 3.65-3.66, 4 Er 3.65
Nd 0.0000 0.5000 0.5000  8 Nd 3.65-3.66, 4 Er 3.65
Nd 0.0000 0.5000 0.7000  8 Nd 3.65-3.66, 4 Er 3.65
Nd 0.0000 0.5000 0.8995  2 Er 3.64, 8 Nd 3.64-3.66, 2 Sm 3.66
Nd 0.5000 0.0000 0.1005  2 Er 3.64, 8 Nd 3.64-3.66, 2 Sm 3.66
Nd 0.5000 0.0000 0.3000  8 Nd 3.65-3.66, 4 Er 3.65
Nd 0.5000 0.0000 0.5000  8 Nd 3.65-3.66, 4 Er 3.65
Nd 0.5000 0.0000 0.7000  8 Nd 3.65-3.66, 4 Er 3.65
Nd 0.5000 0.0000 0.8995  2 Er 3.64, 8 Nd 3.64-3.66, 2 Sm 3.66
Sm 0.5000 0.5000 0.0000  12 Nd 3.66
Er 0.5000 0.5000 0.2001  12 Nd 3.64-3.66
Er 0.5000 0.5000 0.4001  12 Nd 3.65-3.66
Er 0.5000 0.5000 0.5999  12 Nd 3.65-3.66
Er 0.5000 0.5000 0.7999  12 Nd 3.64-3.66

Theoretical density, Mg/m³: 7.2
E_tot, eV/cell: -94.3

=====

Below is a geometry-optimized Nd12Sm2Er structure, with properties calculated at the PBE-GGA level.

a = 6.8675 Å, b = 6.8675 Å, c = 25.1142 Å
α = 90.00°, β = 90.00°, γ = 116.48°
With the nearest neighbours (Å) after each atom.
Sites, in units of the cell vectors:
Nd 0.0017 0.5017 0.1281  8 Nd 3.41-3.70, 2 Er 3.67-3.71
Nd 0.0015 0.9985 0.9263  2 Er 3.45-3.46, 9 Nd 3.61-3.70
Nd 0.0204 0.5204 0.5832  7 Nd 3.32-3.72
Nd 0.0245 0.9755 0.4400  5 Nd 3.07-3.41
Nd 0.2500 0.2500 0.1984  3 Nd 3.19-3.41
Nd 0.2500 0.2500 0.3254  3 Nd 3.19-3.41
Nd 0.2500 0.2500 0.6746  3 Nd 3.19-3.41
Nd 0.2500 0.2500 0.8016  3 Nd 3.19-3.41
Nd 0.4755 0.5245 0.4400  5 Nd 3.07-3.41
Nd 0.4796 0.9796 0.5832  7 Nd 3.32-3.72
Nd 0.4985 0.5015 0.9263  2 Er 3.45-3.46, 9 Nd 3.61-3.70
Nd 0.4983 0.9983 0.1281  8 Nd 3.41-3.70, 2 Er 3.67-3.71
Nd 0.5017 0.0017 0.8719  8 Nd 3.41-3.70, 2 Er 3.67-3.71
Nd 0.5015 0.4985 0.0737  2 Er 3.45-3.46, 9 Nd 3.61-3.70
Nd 0.5204 0.0204 0.4168  7 Nd 3.32-3.72
Nd 0.5245 0.4755 0.5600  5 Nd 3.07-3.41
Nd 0.7500 0.7500 0.1984  3 Nd 3.19-3.41
Nd 0.7500 0.7500 0.3254  3 Nd 3.19-3.41
Nd 0.7500 0.7500 0.6746  3 Nd 3.19-3.41
Nd 0.7500 0.7500 0.8016  3 Nd 3.19-3.41
Nd 0.9755 0.0245 0.5600  5 Nd 3.07-3.41
Nd 0.9796 0.4796 0.4168  7 Nd 3.32-3.72
Nd 0.9985 0.0015 0.0737  2 Er 3.45-3.46, 9 Nd 3.61-3.70
Nd 0.9983 0.4983 0.8719  8 Nd 3.41-3.70, 2 Er 3.67-3.71
Sm 0.2500 0.7500 0.2726  2 Sm 3.62, 10 Nd 3.68-4.05
Sm 0.2500 0.7500 0.7332  2 Sm 3.62, 10 Nd 3.74-3.93
Sm 0.7500 0.2500 0.2668  2 Sm 3.62, 10 Nd 3.74-3.93
Sm 0.7500 0.2500 0.7274  2 Sm 3.62, 10 Nd 3.68-4.05
Er 0.2500 0.7500 0.0006  8 Nd 3.45-3.71, 2 Er 3.61
Er 0.7500 0.2500 0.9994  8 Nd 3.45-3.71, 2 Er 3.61

Theoretical density, Mg/m³: 6.9
E_tot, eV/cell: -137.8